This record from Alexandria describes a geometry-optimized ZnSbPb2 structure. The functional is PBE.

Unit cell a=3.9297 b=3.9297 c=7.1873 alpha=90.00 beta=90.00 gamma=90.00
Space group P4mm (No. 99)
Asymmetric unit:
Zn1 0.0000 0.0000 0.0000 (multiplicity 1)
Sb1 0.5000 0.5000 0.7916 (multiplicity 1)
Pb1 0.0000 0.0000 0.5620 (multiplicity 1)
Pb2 0.5000 0.5000 0.2220 (multiplicity 1)

Values from the calculation:
calculated total energy: -3.0968 eV per atom
formation energy from raw total energies: 106 meV per atom
size of the total moment: 0.00 μB per atom

=====

This record from Alexandria describes a geometry-optimized Ac3TeIrS structure. The functional is PBE.

Unit cell a=9.4611 b=4.5247 c=10.2214 alpha=90.00 beta=103.21 gamma=90.00
Space group P2_1/m (No. 11)
Asymmetric unit:
Ac1 0.0558 0.2500 0.3512 (multiplicity 2)
Ac2 0.2704 0.2500 0.9739 (multiplicity 2)
Ac3 0.3623 0.7500 0.6223 (multiplicity 2)
Te1 0.3271 0.7500 0.2732 (multiplicity 2)
Ir1 0.1563 0.2500 0.6458 (multiplicity 2)
S1 0.4139 0.7500 0.9027 (multiplicity 2)

Values from the calculation:
calculated total energy: -5.9483 eV per atom
formation energy from raw total energies: -1206 meV per atom
size of the total moment: 0.00 μB per atom

=====

This record from Alexandria describes a geometry-optimized Rb3ErPu3Se8 structure. The functional is PBE.

Unit cell a=8.4550 b=8.4550 c=24.2447 alpha=90.00 beta=90.00 gamma=120.00
Space group R-3m (No. 166, hexagonal axes)
Asymmetric unit:
Rb1 0.0000 0.5000 0.0000 (multiplicity 9)
Er1 0.0000 0.0000 0.5000 (multiplicity 3)
Pu1 0.0000 0.5000 0.5000 (multiplicity 9)
Se1 0.0000 0.0000 0.2309 (multiplicity 6)
Se2 0.0018 0.5009 0.2299 (multiplicity 18)

Values from the calculation:
calculated total energy: -6.7214 eV per atom
formation energy from raw total energies: -1499 meV per atom
size of the total moment: 0.93 μB per atom